As2OsAu (GGA-PBE, optimized geometry); Fermi-level density of states = 3.18 states/eV/cell; offset from the most stable computed form = 174 meV per atom; crystal system = monoclinic; calculated total energy = -22.22 eV per cell; formation energy = 1.589 eV per formula unit
1.0
3.9964 0.0000 0.0000
0.0000 3.0392 -0.2961
0.0000 0.7263 6.6613
As Au Os
2 1 1
Cartesian
1.9982 0.2749 2.3364
0.0000 3.6857 5.8294
0.0000 1.8969 3.2380
1.9982 3.5562 4.5092